The following is a DFT calculation (PBE) of a geometry-optimized PmSn2Sb2Pd7 structure.

```
PmSn2Sb2Pd7
1.0
-1.751 -1.175 3.471
-3.137 -1.483 -2.111
6.256 -14.158 -0.773
Pm Sn Sb Pd
1 2 2 7
Cartesian
0.000 0.000 0.000
-1.628 -8.166 0.854
2.995 -8.649 -0.267
2.007 -12.056 0.166
-0.639 -4.759 0.421
-2.444 -1.329 0.680
0.798 -6.972 0.186
0.570 -9.843 0.401
-2.304 -3.853 2.268
-2.996 -4.007 -0.519
4.363 -12.808 1.106
3.671 -12.962 -1.681
```

Values from the calculation:
Formation energy (no corrections): -0.464 eV per atom
SG: C2/m, No. 12
Total energy: -5.24 eV/atom
Total magnetization: 0.000 μB per formula unit

The following is a DFT calculation (PBE) of a geometry-optimized Pm2Sn3SbPd4 structure.

```
Pm2Sn3SbPd4
1.0
-4.459 0.129 1.092
-0.955 -2.718 -3.577
1.276 -8.663 6.241
Pm Sn Sb Pd
2 3 1 4
Cartesian
-1.926 -1.996 2.031
0.496 -7.961 2.968
0.638 -4.332 3.121
-1.116 -7.497 5.993
-0.315 -2.461 -0.994
-2.069 -5.626 1.878
-2.707 -1.294 -1.243
0.000 0.000 0.000
-1.424 -5.405 4.486
-0.007 -4.553 0.512
```

Values from the calculation:
Formation energy (no corrections): -0.748 eV per atom
SG: P-4m2, No. 115
Total energy: -5.39 eV/atom
Total magnetization: 0.000 μB per formula unit

The following is a DFT calculation (PBE) of a geometry-optimized Pm3Sn2SbPd8 structure.

```
Pm3Sn2SbPd8
1.0
-4.648 2.944 0.759
2.804 -1.942 4.384
5.784 9.053 0.311
Pm Sn Sb Pd
3 2 1 8
Cartesian
3.704 4.983 3.357
0.236 5.071 2.096
0.000 0.000 0.000
0.882 0.566 3.206
3.058 9.488 2.248
2.892 4.526 0.156
5.254 7.409 3.441
-1.314 2.645 2.013
3.250 1.497 3.874
0.690 8.557 1.580
1.839 2.474 1.668
2.100 7.580 3.785
0.911 2.978 4.255
3.028 7.076 1.198
```

Values from the calculation:
Formation energy (no corrections): -0.712 eV per atom
SG: P-3m1, No. 164
Total energy: -5.56 eV/atom
Total magnetization: 0.000 μB per formula unit

The following is a DFT calculation (PBE) of a geometry-optimized SrPmSb2Pd2 structure.

```
SrPmSb2Pd2
1.0
4.577 0.000 0.000
-2.289 3.964 0.000
0.000 0.000 8.621
Sr Pm Sb Pd
1 1 2 2
Cartesian
0.000 0.000 0.000
0.000 0.000 4.311
0.000 2.643 2.283
2.289 1.321 6.338
0.000 2.643 6.284
2.289 1.321 2.337
```

Values from the calculation:
Formation energy (no corrections): -0.999 eV per atom
SG: P-3m1, No. 164
Total energy: -5.18 eV/atom
Total magnetization: 0.000 μB per formula unit

The following is a DFT calculation (PBE) of a geometry-optimized PmTcSbPd structure.

```
PmTcSbPd
1.0
-2.010 -3.345 -2.820
0.204 -4.644 1.253
-3.987 -2.283 1.439
Sb Tc Pd Pm
1 1 1 1
Cartesian
-2.896 -5.136 -0.064
-1.448 -2.568 -0.032
-4.344 -7.704 -0.096
0.000 0.000 0.000
```

Values from the calculation:
Formation energy (no corrections): -0.237 eV per atom
SG: F-43m, No. 216
Total energy: -6.35 eV/atom
Total magnetization: 0.000 μB per formula unit

The following is a DFT calculation (PBE) of a geometry-optimized PmThSbPd structure.

```
PmThSbPd
1.0
-3.111 3.578 -2.370
-4.726 1.194 2.080
-0.785 4.734 2.251
Sb Pd Th Pm
1 1 1 1
Cartesian
-4.311 4.753 0.981
0.000 0.000 0.000
-6.467 7.129 1.471
-2.156 2.376 0.490
```

Values from the calculation:
Formation energy (no corrections): -0.644 eV per atom
SG: F-43m, No. 216
Total energy: -6.02 eV/atom
Total magnetization: 0.000 μB per formula unit

Question: Look up the total magnetization of the second one.
Answer: 0.000 μB per formula unit

Question: What is the total magnetization in the sixth record?
Answer: 0.000 μB per formula unit